(1)
Below is a geometry-optimized AlTlPS2 structure, with properties calculated at the PBE level.

Formation energy without anion corrections ... 6 kJ per mole of atoms
Total magnetic moment ... 0.148 μB/atom
Density ... 5.0 Mg/m³

```
data_AlTlPS2
_chemical_formula_sum 'Al1 Tl1 P1 S2'
_cell_length_a 4.7328
_cell_length_b 4.7328
_cell_length_c 4.8377
_cell_angle_alpha 90.00
_cell_angle_beta 90.00
_cell_angle_gamma 90.00
_space_group_name_H-M_alt 'P 4/m m m'
_space_group_IT_number 123
_space_group_name_Hall '-P 4 2'
loop_
_atom_site_label
_atom_site_type_symbol
_atom_site_fract_x
_atom_site_fract_y
_atom_site_fract_z
Al1 Al 0.0000 0.0000 0.0000
Tl1 Tl 0.5000 0.5000 0.5000
P1 P 0.0000 0.0000 0.5000
S1 S 0.0000 0.5000 0.0000
```

***

(2)
Below is a geometry-optimized Sm4DyIn5 structure, with properties calculated at the PBE level.

Total magnetic moment ... 0.000 μB/atom
Energy relative to the elements ... -0.49 eV per atom
Density ... 8.0 Mg/m³

```
data_Sm4DyIn5
_chemical_formula_sum 'Sm4 Dy1 In5'
_cell_length_a 3.8150
_cell_length_b 3.8150
_cell_length_c 19.1015
_cell_angle_alpha 90.00
_cell_angle_beta 90.00
_cell_angle_gamma 90.00
_space_group_name_H-M_alt 'P 4/m m m'
_space_group_IT_number 123
_space_group_name_Hall '-P 4 2'
loop_
_atom_site_label
_atom_site_type_symbol
_atom_site_fract_x
_atom_site_fract_y
_atom_site_fract_z
Sm1 Sm 0.0000 0.0000 0.1010
Sm2 Sm 0.0000 0.0000 0.3033
Dy1 Dy 0.0000 0.0000 0.5000
In1 In 0.5000 0.5000 0.0000
In2 In 0.5000 0.5000 0.2021
In3 In 0.5000 0.5000 0.4048
```

***

(3)
Below is a geometry-optimized LiBiMo2 structure, with properties calculated at the PBE level.

Total magnetic moment ... 0.000 μB/atom
Energy relative to the elements ... 0.60 eV per atom
Density ... 9.1 Mg/m³

```
data_LiBiMo2
_chemical_formula_sum 'Li4 Bi4 Mo8'
_cell_length_a 3.8246
_cell_length_b 3.8246
_cell_length_c 20.4247
_cell_angle_alpha 90.00
_cell_angle_beta 90.00
_cell_angle_gamma 90.00
_space_group_name_H-M_alt 'I -4 2 d'
_space_group_IT_number 122
_space_group_name_Hall 'I -4 2bw'
loop_
_atom_site_label
_atom_site_type_symbol
_atom_site_fract_x
_atom_site_fract_y
_atom_site_fract_z
Li1 Li 0.0000 0.0000 0.0000
Bi1 Bi 0.0000 0.0000 0.5000
Mo1 Mo 0.2099 0.2500 0.1250
```

***

(4)
Below is a geometry-optimized SrCu2H structure, with properties calculated at the PBE level.

Total energy ... -12.79 eV/f.u.
Total magnetic moment ... 0.000 μB/atom
Density ... 5.5 Mg/m³

```
data_SrCu2H
_chemical_formula_sum 'Sr4 Cu8 H4'
_cell_length_a 5.6920
_cell_length_b 5.6920
_cell_length_c 8.0977
_cell_angle_alpha 90.00
_cell_angle_beta 90.00
_cell_angle_gamma 90.00
_space_group_name_H-M_alt 'I 41/a m d'
_space_group_IT_number 141
loop_
_space_group_symop_operation_xyz
'x,y,z'
'-x,-y,-z'
'-y+1/4,x+3/4,z+1/4'
'y+1/4,-x+3/4,-z+1/4'
'-x+1/2,-y,z+1/2'
'x+1/2,y,-z+1/2'
'y+1/4,-x+1/4,z+3/4'
'-y+1/4,x+1/4,-z+3/4'
'x,-y,-z'
'-x,y,z'
'-y+1/4,-x+1/4,-z+3/4'
'y+1/4,x+1/4,z+3/4'
'-x+1/2,y,-z+1/2'
'x+1/2,-y,z+1/2'
'y+1/4,x+3/4,-z+1/4'
'-y+1/4,-x+3/4,z+1/4'
'x+1/2,y+1/2,z+1/2'
'-x+1/2,-y+1/2,-z+1/2'
'-y+3/4,x+1/4,z+3/4'
'y+3/4,-x+1/4,-z+3/4'
'-x,-y+1/2,z'
'x,y+1/2,-z'
'y+3/4,-x+3/4,z+1/4'
'-y+3/4,x+3/4,-z+1/4'
'x+1/2,-y+1/2,-z+1/2'
'-x+1/2,y+1/2,z+1/2'
'-y+3/4,-x+3/4,-z+1/4'
'y+3/4,x+3/4,z+1/4'
'-x,y+1/2,-z'
'x,-y+1/2,z'
'y+3/4,x+1/4,-z+3/4'
'-y+3/4,-x+1/4,z+3/4'
loop_
_atom_site_label
_atom_site_type_symbol
_atom_site_fract_x
_atom_site_fract_y
_atom_site_fract_z
Sr1 Sr 0.0000 0.2500 0.3750
Cu1 Cu 0.0000 0.0000 0.0000
H1 H 0.0000 0.2500 0.8750
```

***

(5)
Below is a geometry-optimized VAgH2 structure, with properties calculated at the PBE level.

Total energy ... -16.23 eV/f.u.
Total magnetic moment ... 0.624 μB/atom
Density ... 6.7 Mg/m³

```
data_VAgH2
_chemical_formula_sum 'V4 Ag4 H8'
_cell_length_a 5.4307
_cell_length_b 5.4307
_cell_length_c 5.4307
_cell_angle_alpha 90.00
_cell_angle_beta 90.00
_cell_angle_gamma 90.00
_space_group_name_H-M_alt 'F m -3 m'
_space_group_IT_number 225
_space_group_name_Hall '-F 4 2 3'
loop_
_atom_site_label
_atom_site_type_symbol
_atom_site_fract_x
_atom_site_fract_y
_atom_site_fract_z
V1 V 0.0000 0.0000 0.0000
Ag1 Ag 0.0000 0.0000 0.5000
H1 H 0.2500 0.2500 0.2500
```

***

(6)
Below is a geometry-optimized Tm2PCl2 structure, with properties calculated at the PBE level.

Formation energy without anion corrections ... -187 kJ per mole of atoms
Total magnetic moment ... 0.000 μB/atom
Density ... 4.7 Mg/m³

```
data_Tm2PCl2
_chemical_formula_sum 'Tm6 P3 Cl6'
_cell_length_a 3.8836
_cell_length_b 3.8836
_cell_length_c 35.3994
_cell_angle_alpha 90.00
_cell_angle_beta 90.00
_cell_angle_gamma 120.00
_space_group_name_H-M_alt 'R -3 m'
_space_group_IT_number 166
_space_group_name_Hall '-R 3 2"'
loop_
_atom_site_label
_atom_site_type_symbol
_atom_site_fract_x
_atom_site_fract_y
_atom_site_fract_z
Tm1 Tm 0.0000 0.0000 0.1240
P1 P 0.0000 0.0000 0.5000
Cl1 Cl 0.0000 0.0000 0.2552
```

***

(7)
Below is a geometry-optimized BaDyS2F structure, with properties calculated at the PBE level.

Formation energy without anion corrections ... -246 kJ per mole of atoms
Total magnetic moment ... 0.000 μB/atom
Density ... 5.2 Mg/m³

```
data_BaDyS2F
_chemical_formula_sum 'Ba2 Dy2 S4 F2'
_cell_length_a 4.0893
_cell_length_b 4.0893
_cell_length_c 14.5356
_cell_angle_alpha 90.00
_cell_angle_beta 90.00
_cell_angle_gamma 90.00
_space_group_name_H-M_alt 'P 4/n m m'
_space_group_IT_number 129
loop_
_space_group_symop_operation_xyz
'x,y,z'
'-x,-y,-z'
'-y+1/2,x,z'
'y+1/2,-x,-z'
'-x+1/2,-y+1/2,z'
'x+1/2,y+1/2,-z'
'y,-x+1/2,z'
'-y,x+1/2,-z'
'x+1/2,-y,-z'
'-x+1/2,y,z'
'-y,-x,-z'
'y,x,z'
'-x,y+1/2,-z'
'x,-y+1/2,z'
'y+1/2,x+1/2,-z'
'-y+1/2,-x+1/2,z'
loop_
_atom_site_label
_atom_site_type_symbol
_atom_site_fract_x
_atom_site_fract_y
_atom_site_fract_z
Ba1 Ba 0.2500 0.2500 0.1149
Dy1 Dy 0.2500 0.2500 0.6127
S1 S 0.2500 0.2500 0.4120
S2 S 0.2500 0.2500 0.7833
F1 F 0.2500 0.7500 0.0000
```

***

(8)
Below is a geometry-optimized ScAl3Ru structure, with properties calculated at the PBE level.

Total magnetic moment ... 0.000 μB/atom
Energy relative to the elements ... -0.17 eV per atom
Density ... 3.8 Mg/m³

```
data_ScAl3Ru
_chemical_formula_sum 'Sc1 Al3 Ru1'
_cell_length_a 4.6306
_cell_length_b 4.6306
_cell_length_c 4.6306
_cell_angle_alpha 90.00
_cell_angle_beta 90.00
_cell_angle_gamma 90.00
_space_group_name_H-M_alt 'P m -3 m'
_space_group_IT_number 221
_space_group_name_Hall '-P 4 2 3'
loop_
_atom_site_label
_atom_site_type_symbol
_atom_site_fract_x
_atom_site_fract_y
_atom_site_fract_z
Sc1 Sc 0.0000 0.0000 0.0000
Al1 Al 0.0000 0.5000 0.5000
Ru1 Ru 0.5000 0.5000 0.5000
```